First-principles (PBE with a Hubbard U) data for FeF after structural relaxation, as listed in Alexandria via LeMat-Bulk.

Cell lengths 2.7977, 2.7977, 7.2470 Å; angles 90.00, 90.00, 120.00 degrees
Space group P6_3mc (No. 186)
Symmetry-distinct sites (fractional):
Fe: 0.3333 0.6667 0.0000 x2
F: 0.3333 0.6667 0.7198 x2

- Total magnetization: 6.63 μB per cell
- D(E_F): 2.03 states/eV/cell
- Calculated density: 5.060 g/cm³
- E: -4.65 eV per atom
- Offset from the most stable computed form: 435.7 meV/atom